# SrHg2Te2, relaxed, DFT PBE
data_SrHg2Te2
_chemical_formula_sum 'Sr1 Hg2 Te2'
_symmetry_space_group_name_H-M 'P 1'
_symmetry_Int_Tables_number 1
_symmetry_space_group_name_Hall 'P 1'
_cell_length_a 5.788
_cell_length_b 5.788
_cell_length_c 6.350
_cell_angle_alpha 62.89
_cell_angle_beta 62.89
_cell_angle_gamma 90.00
loop_
_atom_site_label
_atom_site_fract_x
_atom_site_fract_y
_atom_site_fract_z
Te1 0.250 0.750 0.500
Hg1 0.640 0.640 0.720
Sr1 0.000 0.000 0.000
Hg2 0.360 0.360 0.280
Te2 0.750 0.250 0.500
# * distance to the lowest polymorph of the same formula: 98 meV per atom
# * raw formation energy: -0.51 eV/atom
# * DOS at the Fermi energy: 3.0 states/eV per cell

***

# UAg2As2S6, relaxed, DFT PBE
data_UAg2As2S6
_chemical_formula_sum 'U1 Ag2 As2 S6'
_symmetry_space_group_name_H-M 'P 1'
_symmetry_Int_Tables_number 1
_symmetry_space_group_name_Hall 'P 1'
_cell_length_a 7.006
_cell_length_b 7.006
_cell_length_c 6.350
_cell_angle_alpha 96.88
_cell_angle_beta 96.88
_cell_angle_gamma 115.53
loop_
_atom_site_label
_atom_site_fract_x
_atom_site_fract_y
_atom_site_fract_z
Ag1 0.875 0.125 0.000
S1 0.760 0.760 0.725
Ag2 0.125 0.875 0.000
S2 0.014 0.364 0.719
U1 0.000 0.000 0.500
As1 0.300 0.700 0.500
S3 0.986 0.636 0.281
S4 0.364 0.014 0.719
As2 0.700 0.300 0.500
S5 0.636 0.986 0.281
S6 0.240 0.240 0.275
# * raw formation energy: -0.39 eV/atom
# * DOS at the Fermi energy: 5.3 states/eV per cell

***

# Rb2NaInBr4, relaxed, DFT PBE
data_Rb2NaInBr4
_chemical_formula_sum 'Rb2 Na1 In1 Br4'
_symmetry_space_group_name_H-M 'P 1'
_symmetry_Int_Tables_number 1
_symmetry_space_group_name_Hall 'P 1'
_cell_length_a 4.743
_cell_length_b 8.171
_cell_length_c 8.252
_cell_angle_alpha 70.74
_cell_angle_beta 90.00
_cell_angle_gamma 90.00
loop_
_atom_site_label
_atom_site_fract_x
_atom_site_fract_y
_atom_site_fract_z
Br1 0.500 0.723 0.271
Na1 0.000 0.500 0.500
In1 0.500 0.500 0.000
Br2 0.500 0.277 0.729
Br3 0.000 0.728 0.741
Rb1 0.500 0.000 0.500
Rb2 0.000 0.000 0.000
Br4 0.000 0.272 0.259
# * raw formation energy: -1.40 eV/atom
# * DOS at the Fermi energy: 0.0 states/eV per cell

***

# BeFeH, relaxed, DFT PBE
data_BeFeH
_chemical_formula_sum 'Be4 Fe4 H4'
_symmetry_space_group_name_H-M 'P 1'
_symmetry_Int_Tables_number 1
_symmetry_space_group_name_Hall 'P 1'
_cell_length_a 2.652
_cell_length_b 8.483
_cell_length_c 3.578
_cell_angle_alpha 90.00
_cell_angle_beta 90.00
_cell_angle_gamma 90.00
loop_
_atom_site_label
_atom_site_fract_x
_atom_site_fract_y
_atom_site_fract_z
H1 0.500 0.291 0.750
Fe1 0.000 0.845 0.250
Fe2 0.000 0.155 0.750
H2 0.500 0.709 0.250
Be1 0.000 0.566 0.250
H3 0.000 0.209 0.250
Fe3 0.500 0.655 0.750
Be2 0.500 0.066 0.250
H4 0.000 0.791 0.750
Be3 0.500 0.934 0.750
Be4 0.000 0.434 0.750
Fe4 0.500 0.345 0.250
# * distance to the lowest polymorph of the same formula: 0 meV per atom
# * DOS at the Fermi energy: 5.2 states/eV per cell

***

# Co2AgP2, relaxed, DFT PBE
data_Co2AgP2
_chemical_formula_sum 'Co4 Ag2 P4'
_symmetry_space_group_name_H-M 'P 1'
_symmetry_Int_Tables_number 1
_symmetry_space_group_name_Hall 'P 1'
_cell_length_a 6.796
_cell_length_b 6.796
_cell_length_c 2.743
_cell_angle_alpha 90.00
_cell_angle_beta 90.00
_cell_angle_gamma 90.00
loop_
_atom_site_label
_atom_site_fract_x
_atom_site_fract_y
_atom_site_fract_z
Co1 0.135 0.635 0.500
Co2 0.635 0.865 0.500
Co3 0.865 0.365 0.500
Co4 0.365 0.135 0.500
P1 0.643 0.143 0.000
P2 0.357 0.857 0.000
Ag1 0.500 0.500 0.000
P3 0.143 0.357 0.000
P4 0.857 0.643 0.000
Ag2 0.000 0.000 0.000
# * formation energy: -0.0410 eV per atom
# * distance to the lowest polymorph of the same formula: 51 meV per atom
# * DOS at the Fermi energy: 5.1 states/eV per cell

***

# HgSb2S, relaxed, DFT PBE
data_HgSb2S
_chemical_formula_sum 'Hg1 Sb2 S1'
_symmetry_space_group_name_H-M 'P 1'
_symmetry_Int_Tables_number 1
_symmetry_space_group_name_Hall 'P 1'
_cell_length_a 5.112
_cell_length_b 5.112
_cell_length_c 5.112
_cell_angle_alpha 60.00
_cell_angle_beta 60.00
_cell_angle_gamma 60.00
loop_
_atom_site_label
_atom_site_fract_x
_atom_site_fract_y
_atom_site_fract_z
Sb1 0.750 0.750 0.750
Hg1 0.500 0.500 0.500
Sb2 0.250 0.250 0.250
S1 0.000 0.000 0.000
# * distance to the lowest polymorph of the same formula: 182 meV per atom
# * raw formation energy: 0.31 eV/atom
# * DOS at the Fermi energy: 3.0 states/eV per cell

***

# RbCdAu, relaxed, DFT PBE
data_RbCdAu
_chemical_formula_sum 'Rb4 Cd4 Au4'
_symmetry_space_group_name_H-M 'P 1'
_symmetry_Int_Tables_number 1
_symmetry_space_group_name_Hall 'P 1'
_cell_length_a 7.592
_cell_length_b 7.592
_cell_length_c 7.592
_cell_angle_alpha 90.00
_cell_angle_beta 90.00
_cell_angle_gamma 90.00
loop_
_atom_site_label
_atom_site_fract_x
_atom_site_fract_y
_atom_site_fract_z
Cd1 0.339 0.661 0.161
Au1 0.427 0.427 0.427
Rb1 0.843 0.657 0.343
Rb2 0.157 0.157 0.157
Cd2 0.161 0.339 0.661
Au2 0.927 0.073 0.573
Cd3 0.839 0.839 0.839
Au3 0.073 0.573 0.927
Rb3 0.657 0.343 0.843
Au4 0.573 0.927 0.073
Rb4 0.343 0.843 0.657
Cd4 0.661 0.161 0.339
# * formation energy: -0.2091 eV per atom
# * distance to the lowest polymorph of the same formula: 18 meV per atom
# * DOS at the Fermi energy: 6.9 states/eV per cell

***

# DyThCo4, relaxed, DFT PBE
data_DyThCo4
_chemical_formula_sum 'Dy1 Th1 Co4'
_symmetry_space_group_name_H-M 'P 1'
_symmetry_Int_Tables_number 1
_symmetry_space_group_name_Hall 'P 1'
_cell_length_a 5.067
_cell_length_b 5.067
_cell_length_c 5.067
_cell_angle_alpha 60.00
_cell_angle_beta 60.00
_cell_angle_gamma 60.00
loop_
_atom_site_label
_atom_site_fract_x
_atom_site_fract_y
_atom_site_fract_z
Co1 0.625 0.625 0.625
Co2 0.124 0.625 0.625
Co3 0.625 0.625 0.124
Th1 0.250 0.250 0.250
Dy1 0.000 0.000 0.000
Co4 0.625 0.124 0.625
# * formation energy: -0.1922 eV per atom
# * distance to the lowest polymorph of the same formula: 9 meV per atom
# * DOS at the Fermi energy: 6.8 states/eV per cell

***

# La2EuRe, relaxed, DFT PBE
data_La2EuRe
_chemical_formula_sum 'La2 Eu1 Re1'
_symmetry_space_group_name_H-M 'P 1'
_symmetry_Int_Tables_number 1
_symmetry_space_group_name_Hall 'P 1'
_cell_length_a 3.426
_cell_length_b 3.426
_cell_length_c 12.013
_cell_angle_alpha 81.80
_cell_angle_beta 81.80
_cell_angle_gamma 60.00
loop_
_atom_site_label
_atom_site_fract_x
_atom_site_fract_y
_atom_site_fract_z
La1 0.072 0.072 0.785
Re1 0.000 0.000 0.000
Eu1 0.500 0.500 0.500
La2 0.928 0.928 0.215
# * formation energy: 0.8422 eV per atom
# * DOS at the Fermi energy: 5.3 states/eV per cell

***

# AcSeF, relaxed, DFT PBE
data_AcSeF
_chemical_formula_sum 'Ac1 Se1 F1'
_symmetry_space_group_name_H-M 'P 1'
_symmetry_Int_Tables_number 1
_symmetry_space_group_name_Hall 'P 1'
_cell_length_a 4.356
_cell_length_b 4.356
_cell_length_c 4.331
_cell_angle_alpha 90.00
_cell_angle_beta 90.00
_cell_angle_gamma 120.00
loop_
_atom_site_label
_atom_site_fract_x
_atom_site_fract_y
_atom_site_fract_z
Ac1 0.667 0.333 0.500
F1 0.333 0.667 0.500
Se1 0.000 0.000 0.000
# * distance to the lowest polymorph of the same formula: 6 meV per atom
# * raw formation energy: -3.04 eV/atom
# * DOS at the Fermi energy: 0.0 states/eV per cell

***

# LaRh2Br, relaxed, DFT PBE
data_LaRh2Br
_chemical_formula_sum 'La1 Rh2 Br1'
_symmetry_space_group_name_H-M 'P 1'
_symmetry_Int_Tables_number 1
_symmetry_space_group_name_Hall 'P 1'
_cell_length_a 4.823
_cell_length_b 4.823
_cell_length_c 4.823
_cell_angle_alpha 60.00
_cell_angle_beta 60.00
_cell_angle_gamma 60.00
loop_
_atom_site_label
_atom_site_fract_x
_atom_site_fract_y
_atom_site_fract_z
Rh1 0.250 0.250 0.250
Rh2 0.750 0.750 0.750
La1 0.500 0.500 0.500
Br1 0.000 0.000 0.000
# * distance to the lowest polymorph of the same formula: 355 meV per atom
# * raw formation energy: -0.13 eV/atom
# * DOS at the Fermi energy: 3.2 states/eV per cell

***

# Ba2NaRhAu, relaxed, DFT PBE
data_Ba2NaRhAu
_chemical_formula_sum 'Ba2 Na1 Rh1 Au1'
_symmetry_space_group_name_H-M 'P 1'
_symmetry_Int_Tables_number 1
_symmetry_space_group_name_Hall 'P 1'
_cell_length_a 6.251
_cell_length_b 5.112
_cell_length_c 6.251
_cell_angle_alpha 90.00
_cell_angle_beta 90.00
_cell_angle_gamma 90.00
loop_
_atom_site_label
_atom_site_fract_x
_atom_site_fract_y
_atom_site_fract_z
Na1 0.500 0.500 0.500
Rh1 0.000 0.500 0.000
Au1 0.000 0.000 0.000
Ba1 0.000 0.000 0.500
Ba2 0.500 0.000 0.000
# * formation energy: 0.0454 eV per atom
# * distance to the lowest polymorph of the same formula: 191 meV per atom
# * DOS at the Fermi energy: 4.3 states/eV per cell